BaP2Pt3 | GGA-PBE | optimized geometry

a = 12.294 Å, b = 4.648 Å, c = 4.649 Å
α = 90.00°, β = 111.07°, γ = 90.00°
Space group C2/m (No. 12)
Unique sites:
Ba 0.000 0.000 0.000 x2
P 0.200 0.500 0.777 x4
Pt 0.000 0.500 0.500 x2
Pt 0.244 0.000 0.675 x4

Computed properties:
mass density	10.5	g/cm3
E_form	-834	meV per atom
total moment	0.000	μB/atom
calculated total energy	-71.7	eV/cell


ReSiAu2 | GGA-PBE | optimized geometry

a = 3.823 Å, b = 2.876 Å, c = 11.883 Å
α = 90.00°, β = 90.00°, γ = 90.00°
Space group Amm2 (No. 38)
Unique sites:
Re 0.000 0.000 0.000 x2
Si 0.500 0.000 0.562 x2
Au 0.000 0.000 0.714 x2
Au 0.500 0.000 0.347 x2

Computed properties:
mass density	15.5	g/cm3
formation energy (no corrections)	0.198	eV per atom
total moment	0.000	μB/atom
calculated total energy	-47.3	eV/cell


CoSi2Pb | GGA-PBE | optimized geometry

a = 4.788 Å, b = 4.788 Å, c = 14.505 Å
α = 90.00°, β = 90.00°, γ = 90.00°
Space group I-42d (No. 122)
Unique sites:
Co 0.000 0.000 0.000 x4
Si 0.073 0.250 0.125 x8
Pb 0.000 0.000 0.500 x4

Computed properties:
mass density	6.4	g/cm3
formation energy (no corrections)	0.231	eV per atom
total moment	0.000	μB/atom
calculated total energy	-83.0	eV/cell


NbFeTeAuS | GGA-PBE | optimized geometry

a = 4.803 Å, b = 3.508 Å, c = 6.343 Å
α = 90.00°, β = 107.97°, γ = 90.00°
Space group Pm (No. 6)
Unique sites:
Nb 0.000 0.000 0.000 x1
Fe 0.324 0.500 0.808 x1
Te 0.138 0.500 0.365 x1
Au 0.744 0.500 0.621 x1
S 0.504 0.000 0.027 x1

Computed properties:
mass density	8.3	g/cm3
formation energy (no corrections)	-0.234	eV per atom
total moment	0.416	μB/atom
relative energy among the computed polymorphs	0	meV per atom
calculated total energy	-30.2	eV/cell